(1)
A plane-wave DFT calculation with PBE was carried out for a relaxed PmEr5TlIn2 crystal.

crystal system = tetragonal
V = 1027.9 Å³ per cell
final energy = -3.97 eV/atom

abc: 8.520 8.520 14.162
angles: 90.00 90.00 90.00
Space group I4/mcm (No. 140)
Unique sites:
Pm1 0.000 0.500 0.250 [4 per cell]
Er1 0.000 0.000 0.000 [4 per cell]
Er2 0.209 0.291 0.134 [16 per cell]
Tl1 0.000 0.000 0.250 [4 per cell]
In1 0.111 0.389 0.500 [8 per cell]

---

(2)
A plane-wave DFT calculation with PBE was carried out for a relaxed Pm2Er2Tm2In crystal.

crystal system = monoclinic
V = 435.2 Å³ per cell
final energy = -4.35 eV/atom

abc: 11.690 3.498 11.537
angles: 90.00 112.72 90.00
Space group C2/m (No. 12)
Unique sites:
Pm1 0.030 0.000 0.257 [4 per cell]
Er1 0.176 0.000 0.586 [4 per cell]
Tm1 0.249 0.000 0.132 [4 per cell]
In1 0.000 0.500 0.000 [2 per cell]

---

(3)
A plane-wave DFT calculation with PBE was carried out for a relaxed PmErTmIn crystal.

offset from the most stable computed form = 0 meV/atom
crystal system = cubic
V = 459.3 Å³ per cell
final energy = -4.27 eV/atom

abc: 7.716 7.716 7.716
angles: 90.00 90.00 90.00
Space group F-43m (No. 216)
Unique sites:
Pm1 0.000 0.000 0.000 [4 per cell]
Er1 0.000 0.000 0.500 [4 per cell]
Tm1 0.250 0.250 0.750 [4 per cell]
In1 0.250 0.250 0.250 [4 per cell]